CaPrRh2, relaxed, DFT PBEsol; total energy = -25.21 eV/f.u.; DOS(E_F) = 1.64 states/eV per cell; formation energy from the elements = -403.8 meV per atom
1.0
0.000 3.428 3.428
3.428 0.000 3.428
3.428 3.428 0.000
Ca Pr Rh
1 1 2
direct
0.000 0.000 0.000 Ca
0.500 0.500 0.500 Pr
0.250 0.250 0.250 Rh
0.750 0.750 0.750 Rh